The following is a PBE calculation of an optimized crystal structure of PrTc3O12, from the Alexandria database.

Cell: 9.0012 9.0012 10.5506 Å, 64.75 64.75 60.00°
With the nearest neighbours (Å) after each atom.
Fractional coordinates of all 32 atoms:
Pr (0.0589, 0.0589, 0.8233)  9 O 2.43-2.63
Pr (0.5589, 0.5589, 0.3233)  9 O 2.43-2.63
Tc (0.6929, 0.3383, 0.0027)  4 O 1.71-1.76
Tc (0.1929, 0.4661, 0.5027)  4 O 1.71-1.76
Tc (0.8383, 0.1929, 0.5027)  4 O 1.71-1.76
Tc (0.3383, 0.9661, 0.0027)  4 O 1.71-1.76
Tc (0.9661, 0.6929, 0.0027)  4 O 1.71-1.76
Tc (0.4661, 0.8383, 0.5027)  4 O 1.71-1.76
O (0.1082, 0.0933, 0.0336)  1 Tc 1.75
O (0.1931, 0.2697, 0.6445)  1 Tc 1.76
O (0.9508, 0.9870, 0.4724)  1 Tc 1.71
O (0.8545, 0.3872, 0.8432)  1 Tc 1.75
O (0.3545, 0.4152, 0.3432)  1 Tc 1.75
O (0.4508, 0.0897, 0.9724)  1 Tc 1.71
O (0.6931, 0.3927, 0.1445)  1 Tc 1.76
O (0.9870, 0.5897, 0.4724)  1 Tc 1.71
O (0.6082, 0.2648, 0.5336)  1 Tc 1.75
O (0.8927, 0.1931, 0.6445)  1 Tc 1.76
O (0.8872, 0.3545, 0.3432)  1 Tc 1.75
O (0.2648, 0.5933, 0.5336)  1 Tc 1.75
O (0.0897, 0.4870, 0.9724)  1 Tc 1.71
O (0.7648, 0.1082, 0.0336)  1 Tc 1.75
O (0.3872, 0.9152, 0.8432)  1 Tc 1.75
O (0.3927, 0.7697, 0.1445)  1 Tc 1.76
O (0.7697, 0.6931, 0.1445)  1 Tc 1.76
O (0.4870, 0.4508, 0.9724)  1 Tc 1.71
O (0.5933, 0.6082, 0.5336)  1 Tc 1.75
O (0.9152, 0.8545, 0.8432)  1 Tc 1.75
O (0.4152, 0.8872, 0.3432)  1 Tc 1.75
O (0.0933, 0.7648, 0.0336)  1 Tc 1.75
O (0.2697, 0.8927, 0.6445)  1 Tc 1.76
O (0.5897, 0.9508, 0.4724)  1 Tc 1.71

Properties
The space group is R3c. The value obtained for the total magnetization is 0.0 μB/f.u. Its density of states at the Fermi level is 0.000 states/eV per atom. The calculated volume comes out at 20.13 A^3/atom. For the energy relative to the elements, uncorrected, the calculation gives -1.693 eV per atom.

The following is a PBE calculation of an optimized crystal structure of ScNbN2F, from the Alexandria database.

Cell: 4.1103 4.1103 3.9661 Å, 90.00 90.00 90.00°
With the nearest neighbours (Å) after each atom.
Fractional coordinates of all 5 atoms:
Sc (0.5000, 0.5000, 0.5000)  8 N 2.86, 4 F 2.91
Nb (0.0000, 0.0000, 0.0000)  2 F 1.98, 4 N 2.06
N (0.0000, 0.5000, 0.0000)  2 Nb 2.06
N (0.5000, 0.0000, 0.0000)  2 Nb 2.06
F (0.0000, 0.0000, 0.5000)  2 Nb 1.98

Properties
The space group is P4/mmm. The value obtained for the total magnetization is 0.4 μB/f.u. Its density of states at the Fermi level is 0.604 states/eV per atom. The calculation puts the energy above the most stable polymorph in this dataset at 0.000 eV/atom. The calculated volume comes out at 13.40 A^3/atom. For the energy relative to the elements, uncorrected, the calculation gives -0.976 eV per atom.

The following is a PBE calculation of an optimized crystal structure of SiTcW2, from the Alexandria database.

Cell: 4.3581 2.8254 5.0502 Å, 76.13 90.00 90.00°
With the nearest neighbours (Å) after each atom.
Fractional coordinates of all 4 atoms:
Si (0.0000, 0.6524, 0.5025)  2 Tc 2.52, 5 W 2.58-2.82, 2 Si 2.83
Tc (0.5000, 0.6706, 0.7519)  2 Si 2.52, 4 W 2.53-2.73, 2 Tc 2.83
W (0.0000, 0.0000, 0.9811)  3 Si 2.58-2.82, 4 W 2.72-2.83, 2 Tc 2.73
W (0.5000, 0.1770, 0.2645)  2 Tc 2.53-2.63, 4 W 2.72-2.83, 2 Si 2.75

Properties
The space group is Pm. The value obtained for the total magnetization is 0.0 μB/f.u. Its density of states at the Fermi level is 0.524 states/eV per atom. The calculated volume comes out at 15.09 A^3/atom. For the energy relative to the elements, uncorrected, the calculation gives 0.010 eV per atom.

The following is a PBE calculation of an optimized crystal structure of CoPPb, from the Alexandria database.

Cell: 6.5005 6.5003 3.0160 Å, 76.59 76.58 26.83°
With the nearest neighbours (Å) after each atom.
Fractional coordinates of all 3 atoms:
Co (0.9642, 0.9642, 0.0358)  4 P 2.31
P (0.3915, 0.3915, 0.6085)  4 Co 2.31
Pb (0.6443, 0.6443, 0.3557)  4 Pb 3.02, 4 Co 3.07, 1 P 3.10

Properties
The space group is I4mm. The value obtained for the total magnetization is 0.0 μB/f.u. Its density of states at the Fermi level is 0.836 states/eV per atom. For the energy of formation, the calculation gives 0.0835 eV per atom. The calculated volume comes out at 18.62 A^3/atom.

The following is a PBE calculation of an optimized crystal structure of BeRePS2, from the Alexandria database.

Cell: 4.2373 4.2373 4.0660 Å, 90.00 90.00 90.00°
With the nearest neighbours (Å) after each atom.
Fractional coordinates of all 5 atoms:
Re (0.5000, 0.5000, 0.5000)  8 S 2.94, 4 P 3.00
S (0.0000, 0.5000, 0.0000)  2 Be 2.12
S (0.5000, 0.0000, 0.0000)  2 Be 2.12
Be (0.0000, 0.0000, 0.0000)  2 P 2.03, 4 S 2.12
P (0.0000, 0.0000, 0.5000)  2 Be 2.03

Properties
The space group is P4/mmm. The value obtained for the total magnetization is 1.7 μB/f.u. Its density of states at the Fermi level is 0.751 states/eV per atom. The calculation puts the energy above the most stable polymorph in this dataset at 0.142 eV/atom. The calculated volume comes out at 14.60 A^3/atom. For the energy relative to the elements, uncorrected, the calculation gives 1.021 eV per atom.

The following is a PBE calculation of an optimized crystal structure of PmNd4In5, from the Alexandria database.

Cell: 3.8757 3.8757 19.3018 Å, 90.00 90.00 90.00°
With the nearest neighbours (Å) after each atom.
Fractional coordinates of all 10 atoms:
Pm (0.0000, 0.0000, 0.0000)  8 In 3.33
Nd (0.0000, 0.0000, 0.1988)  8 In 3.36
Nd (0.0000, 0.0000, 0.3996)  8 In 3.36
Nd (0.0000, 0.0000, 0.6004)  8 In 3.36
Nd (0.0000, 0.0000, 0.8012)  8 In 3.36
In (0.5000, 0.5000, 0.0983)  4 Pm 3.33, 4 Nd 3.36
In (0.5000, 0.5000, 0.2992)  8 Nd 3.36
In (0.5000, 0.5000, 0.5000)  8 Nd 3.36
In (0.5000, 0.5000, 0.7008)  8 Nd 3.36
In (0.5000, 0.5000, 0.9017)  4 Pm 3.33, 4 Nd 3.36

Properties
The space group is P4/mmm. The value obtained for the total magnetization is 0.0 μB/f.u. Its density of states at the Fermi level is 0.549 states/eV per atom. For the energy of formation, the calculation gives -0.4961 eV per atom. The calculated volume comes out at 28.99 A^3/atom.

The following is a PBE calculation of an optimized crystal structure of Na2SrBr4, from the Alexandria database.

Cell: 9.1290 8.9103 8.9103 Å, 58.07 59.18 59.18°
With the nearest neighbours (Å) after each atom.
Fractional coordinates of all 14 atoms:
Na (0.1100, 0.1400, 0.6400)  4 Br 2.88-2.91
Na (0.5000, 0.0000, 0.0000)  6 Br 3.02-3.08
Na (0.5000, 0.5000, 0.5000)  6 Br 3.02-3.08
Na (0.8900, 0.8600, 0.3600)  4 Br 2.88-2.91
Sr (0.0000, 0.5000, 0.0000)  6 Br 3.05-3.08
Sr (0.5000, 0.5000, 0.0000)  6 Br 3.05-3.08
Br (0.2560, 0.2548, 0.2333)  2 Na 2.91-3.08, 2 Sr 3.08
Br (0.2560, 0.7333, 0.7548)  2 Na 2.91-3.08, 2 Sr 3.08
Br (0.2599, 0.2588, 0.7588)  3 Na 2.88-3.02, 1 Sr 3.05
Br (0.7225, 0.2588, 0.7588)  3 Na 2.88-3.02, 1 Sr 3.05
Br (0.2775, 0.7412, 0.2412)  3 Na 2.88-3.02, 1 Sr 3.05
Br (0.7440, 0.2667, 0.2452)  2 Na 2.91-3.08, 2 Sr 3.08
Br (0.7401, 0.7412, 0.2412)  3 Na 2.88-3.02, 1 Sr 3.05
Br (0.7440, 0.7452, 0.7667)  2 Na 2.91-3.08, 2 Sr 3.08

Properties
The space group is Imma. The value obtained for the total magnetization is 0.0 μB/f.u. Its density of states at the Fermi level is 0.000 states/eV per atom. The calculation puts the energy above the most stable polymorph in this dataset at 0.000 eV/atom. The calculated volume comes out at 35.61 A^3/atom. For the energy relative to the elements, uncorrected, the calculation gives -1.787 eV per atom.

The following is a PBE calculation of an optimized crystal structure of PdI3Cl, from the Alexandria database.

Cell: 7.1245 9.7618 9.4607 Å, 120.88 55.68 107.79°
With the nearest neighbours (Å) after each atom.
Fractional coordinates of all 10 atoms:
Pd (0.9942, 0.9813, 0.9801)  4 I 2.62-2.68
Pd (0.4773, 0.9955, 0.0065)  4 I 2.61-2.64
I (0.6785, 0.7682, 0.9375)  2 Pd 2.61-2.62
I (0.2962, 0.7588, 0.5841)  1 Cl 2.46
I (0.2728, 0.2218, 0.0712)  2 Pd 2.64-2.68
I (0.7992, 0.3155, 0.4428)  1 Cl 2.44
I (0.0766, 0.8559, 0.1317)  2 Pd 2.62-2.66
I (0.8893, 0.1180, 0.8542)  2 Pd 2.64-2.65
Cl (0.5955, 0.5875, 0.2742)  1 I 2.46
Cl (0.4205, 0.3974, 0.7178)  1 I 2.44

Properties
The space group is P1. The value obtained for the total magnetization is 0.0 μB/f.u. The calculation puts the energy above the most stable polymorph in this dataset at 0.000 eV/atom. The calculated volume comes out at 46.63 A^3/atom. For the energy relative to the elements, uncorrected, the calculation gives -0.157 eV per atom.

The following is a PBE calculation of an optimized crystal structure of DyLuThCd, from the Alexandria database.

Cell: 5.4519 5.4519 5.4519 Å, 60.00 60.00 60.00°
With the nearest neighbours (Å) after each atom.
Fractional coordinates of all 4 atoms:
Cd (0.7500, 0.7500, 0.7500)  4 Dy 3.34, 4 Th 3.34
Lu (0.2500, 0.2500, 0.2500)  4 Dy 3.34, 4 Th 3.34
Th (0.0000, 0.0000, 0.0000)  4 Cd 3.34, 4 Lu 3.34
Dy (0.5000, 0.5000, 0.5000)  4 Lu 3.34, 4 Cd 3.34

Properties
The space group is F-43m. The value obtained for the total magnetization is 0.0 μB/f.u. Its density of states at the Fermi level is 1.852 states/eV per atom. For the energy of formation, the calculation gives 0.0310 eV per atom. The calculated volume comes out at 28.65 A^3/atom.

The following is a PBE calculation of an optimized crystal structure of Hf2BiPt2, from the Alexandria database.

Cell: 7.8366 7.8366 3.3362 Å, 90.00 90.00 90.00°
With the nearest neighbours (Å) after each atom.
Fractional coordinates of all 10 atoms:
Hf (0.1592, 0.6592, 0.5000)  6 Pt 2.82-2.88
Hf (0.6592, 0.8408, 0.5000)  6 Pt 2.82-2.88
Hf (0.8408, 0.3408, 0.5000)  6 Pt 2.82-2.88
Hf (0.3408, 0.1592, 0.5000)  6 Pt 2.82-2.88
Bi (0.0000, 0.0000, 0.0000)  4 Pt 3.08, 2 Bi 3.34, 8 Hf 3.39
Bi (0.5000, 0.5000, 0.0000)  4 Pt 3.08, 2 Bi 3.34, 8 Hf 3.39
Pt (0.3706, 0.8706, 0.0000)  6 Hf 2.82-2.88, 1 Pt 2.87, 2 Bi 3.08
Pt (0.8706, 0.6294, 0.0000)  6 Hf 2.82-2.88, 1 Pt 2.87, 2 Bi 3.08
Pt (0.6294, 0.1294, 0.0000)  6 Hf 2.82-2.88, 1 Pt 2.87, 2 Bi 3.08
Pt (0.1294, 0.3706, 0.0000)  6 Hf 2.82-2.88, 1 Pt 2.87, 2 Bi 3.08

Properties
The space group is P4/mbm. The value obtained for the total magnetization is 0.0 μB/f.u. Its density of states at the Fermi level is 0.562 states/eV per atom. For the energy of formation, the calculation gives -0.7961 eV per atom. The calculation puts the energy above the most stable polymorph in this dataset at 0.000 eV/atom. The calculated volume comes out at 20.49 A^3/atom.

The following is a PBE calculation of an optimized crystal structure of Pa3In2C, from the Alexandria database.

Cell: 4.8828 6.7826 8.6062 Å, 90.00 73.52 90.00°
With the nearest neighbours (Å) after each atom.
Fractional coordinates of all 12 atoms:
Pa (0.5001, 0.2500, 0.0000)  2 C 2.44
Pa (0.4999, 0.7500, 0.0000)  2 C 2.44
Pa (0.1057, 0.0000, 0.7886)  2 C 2.43
Pa (0.8943, 0.5000, 0.2114)  2 C 2.43
Pa (0.1057, 0.5000, 0.7886)  2 C 2.43
Pa (0.8943, 0.0000, 0.2114)  2 C 2.43
In (0.7000, 0.7500, 0.5999)  2 In 2.95
In (0.7001, 0.2500, 0.5999)  2 In 2.95
In (0.2999, 0.7500, 0.4001)  2 In 2.95
In (0.3000, 0.2500, 0.4001)  2 In 2.95
C (0.9998, 0.7500, 0.0000)  6 Pa 2.43-2.44
C (0.0002, 0.2500, 0.0000)  6 Pa 2.43-2.44

Properties
The space group is Cmmm. The value obtained for the total magnetization is 0.1 μB/f.u. Its density of states at the Fermi level is 1.481 states/eV per atom. For the energy of formation, the calculation gives -0.2010 eV per atom. The calculated volume comes out at 22.78 A^3/atom.

- The lowest calculated volume belongs to which entry?
  ScNbN2F

- What is the calculated volume in the seventh record?
  35.61 A^3/atom

Copy entry 4 word for word.
The following is a PBE calculation of an optimized crystal structure of CoPPb, from the Alexandria database.

Cell: 6.5005 6.5003 3.0160 Å, 76.59 76.58 26.83°
With the nearest neighbours (Å) after each atom.
Fractional coordinates of all 3 atoms:
Co (0.9642, 0.9642, 0.0358)  4 P 2.31
P (0.3915, 0.3915, 0.6085)  4 Co 2.31
Pb (0.6443, 0.6443, 0.3557)  4 Pb 3.02, 4 Co 3.07, 1 P 3.10

Properties
The space group is I4mm. The value obtained for the total magnetization is 0.0 μB/f.u. Its density of states at the Fermi level is 0.836 states/eV per atom. For the energy of formation, the calculation gives 0.0835 eV per atom. The calculated volume comes out at 18.62 A^3/atom.